The following is a SCAN calculation of YSnTeSe2 at its PBEsol-relaxed geometry, from Alexandria.

## Properties
**Final energy**: -28.725 eV per atom
**Calculated volume**: 163.6 Å³ per cell
**Density of states at the Fermi level**: 4.10 states/eV/f.u.
**Energy relative to the elements, uncorrected**: -0.491 eV/atom

Cell: 5.3018 5.3018 5.8205 Å, 90.00 90.00 90.00°
Space group P4/mmm (No. 123)
Inequivalent atoms, fractional coordinates:
Y  0.0000  0.0000  0.0000 (multiplicity 1)
Sn  0.5000  0.5000  0.5000 (multiplicity 1)
Te  0.0000  0.0000  0.5000 (multiplicity 1)
Se  0.0000  0.5000  0.0000 (multiplicity 2)

=====

The following is a SCAN calculation of TiSn3Se at its PBEsol-relaxed geometry, from Alexandria.

## Properties
**Final energy**: -28.392 eV per atom
**Calculated volume**: 143.6 Å³ per cell
**Density of states at the Fermi level**: 3.85 states/eV/f.u.
**Energy relative to the elements, uncorrected**: 0.382 eV/atom

Cell: 5.2361 5.2361 5.2361 Å, 90.00 90.00 90.00°
Space group Pm-3m (No. 221)
Inequivalent atoms, fractional coordinates:
Ti  0.0000  0.0000  0.0000 (multiplicity 1)
Sn  0.0000  0.0000  0.5000 (multiplicity 3)
Se  0.5000  0.5000  0.5000 (multiplicity 1)

=====

The following is a SCAN calculation of TiTlSnSe2 at its PBEsol-relaxed geometry, from Alexandria.

## Properties
**Final energy**: -32.103 eV per atom
**Calculated volume**: 146.9 Å³ per cell
**Density of states at the Fermi level**: 3.93 states/eV/f.u.
**Energy relative to the elements, uncorrected**: 0.790 eV/atom

Cell: 5.3267 5.3267 5.1784 Å, 90.00 90.00 90.00°
Space group P4/mmm (No. 123)
Inequivalent atoms, fractional coordinates:
Ti  0.0000  0.0000  0.0000 (multiplicity 1)
Tl  0.0000  0.0000  0.5000 (multiplicity 1)
Sn  0.5000  0.5000  0.0000 (multiplicity 1)
Se  0.0000  0.5000  0.5000 (multiplicity 2)